No. 1
This record from Alexandria via LeMat-Bulk describes a geometry-optimized Zr3TiCu2 structure. The functional is GGA-PBE.

crystal system: tetragonal
energy relative to the elements: -0.12 eV/atom

Cell lengths 3.1533, 3.1533, 11.1826 Å; angles 90.00, 90.00, 90.00 degrees
With the nearest neighbours (Å) after each atom.
Positions (direct):
Zr (0.0000, 0.0000, 0.0000)  4 Cu 2.87, 4 Ti 2.98, 4 Zr 3.15
Zr (0.0000, 0.0000, 0.3237)  4 Cu 2.87, 8 Zr 3.15
Zr (0.5000, 0.5000, 0.5231)  4 Cu 2.94, 8 Zr 3.15
Ti (0.5000, 0.5000, 0.8237)  4 Cu 2.66, 4 Zr 2.98
Cu (0.0000, 0.0000, 0.6943)  4 Ti 2.66, 4 Zr 2.94
Cu (0.5000, 0.5000, 0.1619)  8 Zr 2.87, 4 Cu 3.15



No. 2
This record from Alexandria via LeMat-Bulk describes a geometry-optimized ScAl2Os structure. The functional is GGA-PBE.

crystal system: tetragonal
energy relative to the elements: 0.05 eV/atom

Cell lengths 9.9114, 9.9114, 9.9114 Å; angles 157.51, 157.51, 32.01 degrees
With the nearest neighbours (Å) after each atom.
Positions (direct):
Sc (0.0000, 0.0000, 0.0000)  4 Os 2.73, 4 Al 2.77
Sc (0.7500, 0.2500, 0.5000)  4 Os 2.73, 4 Al 2.77
Al (0.1429, 0.6250, 0.0179)  4 Al 2.64-2.83, 2 Os 2.72, 2 Sc 2.77
Al (0.3750, 0.3929, 0.5179)  4 Al 2.64-2.83, 2 Os 2.72, 2 Sc 2.77
Al (0.6071, 0.1250, 0.9821)  4 Al 2.64-2.83, 2 Os 2.72, 2 Sc 2.77
Al (0.8750, 0.8571, 0.4821)  4 Al 2.64-2.83, 2 Os 2.72, 2 Sc 2.77
Os (0.2500, 0.7500, 0.5000)  4 Al 2.72, 4 Sc 2.73
Os (0.5000, 0.5000, 0.0000)  4 Al 2.72, 4 Sc 2.73



No. 3
This record from Alexandria via LeMat-Bulk describes a geometry-optimized PrTcO5 structure. The functional is GGA-PBE.

crystal system: monoclinic
formation energy (no corrections): -1.952 eV/atom

Cell lengths 6.5171, 6.5171, 8.7157 Å; angles 108.55, 108.55, 94.23 degrees
With the nearest neighbours (Å) after each atom.
Positions (direct):
Pr (0.0000, 0.0000, 0.0000)  2 O 2.22
Pr (0.0000, 0.0000, 0.5000)  2 O 2.22
Tc (0.3602, 0.6398, 0.7500)  4 O 1.75
Tc (0.6398, 0.3602, 0.2500)  4 O 1.75
O (0.0430, 0.9570, 0.2500)  2 Pr 2.22
O (0.2429, 0.7367, 0.9077)  1 Tc 1.75
O (0.2633, 0.7571, 0.5923)  1 Tc 1.75
O (0.2809, 0.3528, 0.6531)  1 Tc 1.75
O (0.3528, 0.2809, 0.1531)  1 Tc 1.75
O (0.6472, 0.7191, 0.8469)  1 Tc 1.75
O (0.7191, 0.6472, 0.3469)  1 Tc 1.75
O (0.7367, 0.2429, 0.4077)  1 Tc 1.75
O (0.7571, 0.2633, 0.0923)  1 Tc 1.75
O (0.9570, 0.0430, 0.7500)  2 Pr 2.22